LaDy7Y2 | GGA-PBE | relaxed

Output
Electronic total energy: -4.982 eV per atom
E_form: 0.251 eV/f.u.
Excess energy over the best structure of this formula in the dataset: 0.000 eV per atom

a b c (Å): 6.183 9.458 6.182
angles (deg): 109.22 80.43 77.40
Sites, in units of the cell vectors:
Dy (0.500, 0.500, 0.000)
Y (0.799, 0.401, 0.400)
Dy (0.697, 0.101, 0.602)
Dy (0.303, 0.899, 0.398)
Dy (0.899, 0.699, 0.200)
Y (0.201, 0.599, 0.600)
Dy (0.101, 0.301, 0.800)
Dy (0.600, 0.798, 0.799)
La (0.000, 0.000, 0.000)
Dy (0.400, 0.202, 0.201)